11
Lattice="5.4391 0.0000 0.0000 0.0000 5.4391 0.0000 0.0000 0.0000 8.8242" Properties=species:S:1:pos:R:3 comment="AcCd4Ag5Ge, optimized geometry, DFT PBE" space_group=P4/mmm rho_g_cm3=8.20 ef_ev_per_atom=0.11 n_ef_per_ev_fu=3.29 pbc="T T T"
Ac 0.0000 0.0000 0.0000
Cd 0.0000 2.7196 4.4121
Cd 2.7196 0.0000 4.4121
Cd 2.7196 2.7196 2.8727
Cd 2.7196 2.7196 5.9515
Ag 0.0000 0.0000 4.4121
Ag 0.0000 2.7196 1.6188
Ag 0.0000 2.7196 7.2054
Ag 2.7196 0.0000 1.6188
Ag 2.7196 0.0000 7.2054
Ge 2.7196 2.7196 0.0000